Record 1
! ReNiNF2, optimized geometry, DFT PBE with a Hubbard U; values from VASP
&SYSTEM
  ibrav = 0, nat = 5, ntyp = 4
/
ATOMIC_SPECIES
Re 186.21 Re.upf
Ni 58.69 Ni.upf
N 14.01 N.upf
F 19.00 F.upf
CELL_PARAMETERS angstrom
4.165 0.000 0.000
0.000 4.165 0.000
0.000 0.000 3.816
ATOMIC_POSITIONS crystal
Re 0.000 0.000 0.000
Ni 0.500 0.500 0.500
N 0.000 0.000 0.500
F 0.000 0.500 0.000
F 0.500 0.000 0.000
! **Space group**: P4/mmm (123)

=====

Record 2
! ReNiNF2, optimized geometry, DFT PBE with a Hubbard U; values from VASP
&SYSTEM
  ibrav = 0, nat = 5, ntyp = 4
/
ATOMIC_SPECIES
Re 186.21 Re.upf
Ni 58.69 Ni.upf
N 14.01 N.upf
F 19.00 F.upf
CELL_PARAMETERS angstrom
3.404 0.000 0.000
0.000 3.404 0.000
0.000 0.000 6.418
ATOMIC_POSITIONS crystal
Re 0.000 0.000 0.000
Ni 0.500 0.500 0.500
N 0.500 0.500 0.000
F 0.000 0.500 0.500
F 0.500 0.000 0.500
! **Space group**: P4/mmm (123)

=====

Record 3
! NiRhNF2, optimized geometry, DFT PBE with a Hubbard U; values from VASP
&SYSTEM
  ibrav = 0, nat = 5, ntyp = 4
/
ATOMIC_SPECIES
Ni 58.69 Ni.upf
Rh 102.91 Rh.upf
N 14.01 N.upf
F 19.00 F.upf
CELL_PARAMETERS angstrom
3.707 0.000 0.000
0.000 3.707 0.000
0.000 0.000 4.276
ATOMIC_POSITIONS crystal
Ni 0.000 0.000 0.000
Rh 0.500 0.500 0.500
N 0.000 0.000 0.500
F 0.000 0.500 0.000
F 0.500 0.000 0.000
! **Space group**: P4/mmm (123)

=====

Record 4
! NiRhNF2, optimized geometry, DFT PBE with a Hubbard U; values from VASP
&SYSTEM
  ibrav = 0, nat = 5, ntyp = 4
/
ATOMIC_SPECIES
Ni 58.69 Ni.upf
Rh 102.91 Rh.upf
N 14.01 N.upf
F 19.00 F.upf
CELL_PARAMETERS angstrom
4.342 0.000 0.000
0.000 4.342 0.000
0.000 0.000 3.665
ATOMIC_POSITIONS crystal
Ni 0.000 0.000 0.000
Rh 0.500 0.500 0.500
N 0.500 0.500 0.000
F 0.000 0.500 0.500
F 0.500 0.000 0.500
! **Space group**: P4/mmm (123)

=====

Record 5
! NiRuNF2, optimized geometry, DFT PBE with a Hubbard U; values from VASP
&SYSTEM
  ibrav = 0, nat = 5, ntyp = 4
/
ATOMIC_SPECIES
Ni 58.69 Ni.upf
Ru 101.07 Ru.upf
N 14.01 N.upf
F 19.00 F.upf
CELL_PARAMETERS angstrom
4.192 0.000 0.000
0.000 4.192 0.000
0.000 0.000 3.724
ATOMIC_POSITIONS crystal
Ni 0.000 0.000 0.000
Ru 0.500 0.500 0.500
N 0.500 0.500 0.000
F 0.000 0.500 0.500
F 0.500 0.000 0.500
! **Space group**: P4/mmm (123)

=====

Record 6
! NiRuNF2, optimized geometry, DFT PBE with a Hubbard U; values from VASP
&SYSTEM
  ibrav = 0, nat = 5, ntyp = 4
/
ATOMIC_SPECIES
Ni 58.69 Ni.upf
Ru 101.07 Ru.upf
N 14.01 N.upf
F 19.00 F.upf
CELL_PARAMETERS angstrom
3.437 0.000 0.000
0.000 3.437 0.000
0.000 0.000 5.966
ATOMIC_POSITIONS crystal
Ni 0.000 0.000 0.000
Ru 0.500 0.500 0.500
N 0.000 0.000 0.500
F 0.000 0.500 0.000
F 0.500 0.000 0.000
! **Space group**: P4/mmm (123)

=====

Record 7
! NiSN2F, optimized geometry, DFT PBE with a Hubbard U; values from VASP
&SYSTEM
  ibrav = 0, nat = 5, ntyp = 4
/
ATOMIC_SPECIES
Ni 58.69 Ni.upf
S 32.06 S.upf
N 14.01 N.upf
F 19.00 F.upf
CELL_PARAMETERS angstrom
3.886 0.000 0.000
0.000 3.886 0.000
0.000 0.000 3.757
ATOMIC_POSITIONS crystal
Ni 0.000 0.000 0.000
S 0.500 0.500 0.500
N 0.000 0.500 0.000
N 0.500 0.000 0.000
F 0.000 0.000 0.500
! **Space group**: P4/mmm (123)

=====

Record 8
! NiSN2F, optimized geometry, DFT PBE with a Hubbard U; values from VASP
&SYSTEM
  ibrav = 0, nat = 5, ntyp = 4
/
ATOMIC_SPECIES
Ni 58.69 Ni.upf
S 32.06 S.upf
N 14.01 N.upf
F 19.00 F.upf
CELL_PARAMETERS angstrom
3.620 0.000 0.000
0.000 3.620 0.000
0.000 0.000 6.374
ATOMIC_POSITIONS crystal
Ni 0.000 0.000 0.000
S 0.500 0.500 0.000
N 0.000 0.500 0.500
N 0.500 0.000 0.500
F 0.500 0.500 0.500
! **Space group**: P4/mmm (123)

=====

Record 9
! NiS2NF, optimized geometry, DFT PBE with a Hubbard U; values from VASP
&SYSTEM
  ibrav = 0, nat = 5, ntyp = 4
/
ATOMIC_SPECIES
Ni 58.69 Ni.upf
S 32.06 S.upf
N 14.01 N.upf
F 19.00 F.upf
CELL_PARAMETERS angstrom
4.379 0.000 0.000
0.000 4.379 0.000
0.000 0.000 3.829
ATOMIC_POSITIONS crystal
Ni 0.000 0.000 0.000
S 0.000 0.500 0.500
S 0.500 0.000 0.500
N 0.500 0.500 0.000
F 0.500 0.500 0.500
! **Space group**: P4/mmm (123)

=====

Record 10
! NiSN2F, optimized geometry, DFT PBE with a Hubbard U; values from VASP
&SYSTEM
  ibrav = 0, nat = 5, ntyp = 4
/
ATOMIC_SPECIES
Ni 58.69 Ni.upf
S 32.06 S.upf
N 14.01 N.upf
F 19.00 F.upf
CELL_PARAMETERS angstrom
3.295 0.000 0.000
0.000 3.295 0.000
0.000 0.000 5.651
ATOMIC_POSITIONS crystal
Ni 0.000 0.000 0.000
S 0.500 0.500 0.500
N 0.000 0.500 0.500
N 0.500 0.000 0.500
F 0.500 0.500 0.000
! **Space group**: P4/mmm (123)

=====

Record 11
! NiSN2F, optimized geometry, DFT PBE with a Hubbard U; values from VASP
&SYSTEM
  ibrav = 0, nat = 5, ntyp = 4
/
ATOMIC_SPECIES
Ni 58.69 Ni.upf
S 32.06 S.upf
N 14.01 N.upf
F 19.00 F.upf
CELL_PARAMETERS angstrom
3.603 0.000 0.000
0.000 3.603 0.000
0.000 0.000 4.898
ATOMIC_POSITIONS crystal
Ni 0.000 0.000 0.000
S 0.000 0.000 0.500
N 0.000 0.500 0.000
N 0.500 0.000 0.000
F 0.500 0.500 0.500
! **Space group**: P4/mmm (123)

=====

Record 12
! NiS2NF, optimized geometry, DFT PBE with a Hubbard U; values from VASP
&SYSTEM
  ibrav = 0, nat = 5, ntyp = 4
/
ATOMIC_SPECIES
Ni 58.69 Ni.upf
S 32.06 S.upf
N 14.01 N.upf
F 19.00 F.upf
CELL_PARAMETERS angstrom
4.800 0.000 0.000
0.000 4.800 0.000
0.000 0.000 3.790
ATOMIC_POSITIONS crystal
Ni 0.000 0.000 0.000
S 0.000 0.500 0.500
S 0.500 0.000 0.500
N 0.500 0.500 0.000
F 0.000 0.000 0.500
! **Space group**: P4/mmm (123)

=====

The records above yield calculated total energy values of -28.148; -25.120; -21.520; -21.633; -24.776; -22.432; -18.922; -13.869; -12.431; -20.350; -17.532; -13.031 eV for the cell shown, respectively.
The records above yield E above lowest polymorph values of 0.0; 58.4; 2.2; 0.0; 0.0; 45.2; 27.6; 125.1; 58.5; 0.0; 54.4; 46.9 kJ/mol of atoms, respectively.